A plane-wave DFT calculation with SCAN was carried out for a PBEsol-optimized structure of Y4InMo.

a = 5.959 Å, b = 5.959 Å, c = 5.959 Å
α = 60.00°, β = 60.00°, γ = 60.00°
Fractional coordinates of all 6 atoms:
In (0.750, 0.750, 0.750)
Mo (0.000, 0.000, 0.000)
Y (0.374, 0.374, 0.374)
Y (0.374, 0.374, 0.879)
Y (0.879, 0.374, 0.374)
Y (0.374, 0.879, 0.374)

Output
As for the crystal system: cubic. Its density of states at the Fermi level is 4.56 states/eV per cell. The space group is F-43m, No. 216. For the total energy, the calculation gives -29.28 eV/atom.